# NdBPt4, relaxed, DFT GGA-PBE
data_NdBPt4
_chemical_formula_sum 'Nd2 B2 Pt8'
_symmetry_space_group_name_H-M 'P 1'
_symmetry_Int_Tables_number 1
_symmetry_space_group_name_Hall 'P 1'
_cell_length_a 5.497
_cell_length_b 5.497
_cell_length_c 7.699
_cell_angle_alpha 90.00
_cell_angle_beta 90.00
_cell_angle_gamma 120.00
loop_
_atom_site_label
_atom_site_type_symbol
_atom_site_fract_x
_atom_site_fract_y
_atom_site_fract_z
_atom_site_occupancy
Nd1 Nd 0.000 0.000 0.000 1
Nd2 Nd 0.000 0.000 0.500 1
B1 B 0.667 0.333 0.500 1
B2 B 0.333 0.667 0.500 1
Pt1 Pt 0.500 0.000 0.301 1
Pt2 Pt 0.500 0.500 0.301 1
Pt3 Pt 0.500 0.000 0.699 1
Pt4 Pt 0.333 0.667 0.000 1
Pt5 Pt 0.000 0.500 0.301 1
Pt6 Pt 0.667 0.333 0.000 1
Pt7 Pt 0.500 0.500 0.699 1
Pt8 Pt 0.000 0.500 0.699 1
# E = -6.728 eV per atom
# space-group type = P6/mmm